(a)
Entry from the Alexandria database: an optimized crystal structure of La2Nd3Sm7 (PBE).

a b c (Å): 3.603 6.506 18.438
angles (deg): 75.77 90.00 90.00
Positions (direct):
Sm  0.500  0.757  0.500
Sm  0.000  0.437  0.836
Sm  0.000  0.000  0.000
Sm  0.000  0.563  0.164
Nd  0.500  0.500  0.000
Nd  0.000  0.886  0.660
Nd  0.000  0.114  0.340
Sm  0.500  0.243  0.500
Sm  0.500  0.938  0.834
La  0.500  0.615  0.329
Sm  0.500  0.062  0.166
La  0.500  0.385  0.671

Output
Total moment: 0.0 μB/cell
Volume: 34.91 Å³ per atom

***

(b)
Entry from the Alexandria database: an optimized crystal structure of La2Nd3Sm7 (PBE).

a b c (Å): 3.650 5.994 19.900
angles (deg): 104.37 90.00 90.00
Positions (direct):
Sm  0.500  0.016  0.827
La  0.500  0.416  0.705
Nd  0.000  0.853  0.631
Nd  0.500  0.500  0.000
La  0.500  0.584  0.295
Sm  0.500  0.984  0.173
Sm  0.500  0.280  0.537
Sm  0.000  0.000  0.000
Nd  0.000  0.147  0.369
Sm  0.500  0.720  0.463
Sm  0.000  0.545  0.858
Sm  0.000  0.455  0.142

Output
Total moment: 0.0 μB/cell
Volume: 35.15 Å³ per atom

***

What should be chosen as the most stable of them? Choose (a).

***

(a)
Entry from the Alexandria database: an optimized crystal structure of La3Nd6Sm2 (PBE).

a b c (Å): 4.902 4.902 17.386
angles (deg): 98.10 98.10 90.00
Positions (direct):
Nd  0.118  0.618  0.237
Nd  0.382  0.882  0.763
La  0.205  0.205  0.411
Nd  0.618  0.118  0.237
Sm  0.545  0.545  0.090
La  0.000  0.000  0.000
La  0.795  0.795  0.589
Sm  0.455  0.455  0.910
Nd  0.307  0.307  0.615
Nd  0.882  0.382  0.763
Nd  0.693  0.693  0.385

Output
Total moment: 0.0 μB/cell
Volume: 37.21 Å³ per atom

***

(b)
Entry from the Alexandria database: an optimized crystal structure of La3Nd6Sm2 (PBE).

a b c (Å): 6.409 8.244 15.226
angles (deg): 49.37 60.48 97.20
Positions (direct):
Nd  0.911  0.366  0.271
Nd  0.089  0.634  0.729
La  0.000  0.000  0.000
Nd  0.182  0.269  0.455
Nd  0.818  0.731  0.545
La  0.454  0.180  0.637
Nd  0.727  0.089  0.819
Sm  0.364  0.547  0.909
La  0.546  0.820  0.363
Sm  0.636  0.453  0.091
Nd  0.273  0.911  0.181

Output
Total moment: 0.0 μB/cell
Volume: 35.62 Å³ per atom

***

What should be chosen as the most stable of them? Choose (b).

***

(a)
Entry from the Alexandria database: an optimized crystal structure of La2Nd3Sm4 (PBE).

a b c (Å): 9.780 9.780 9.189
angles (deg): 103.34 103.34 21.78
Positions (direct):
Nd  0.000  0.000  0.000
Sm  0.334  0.334  0.005
La  0.741  0.741  0.669
Sm  0.927  0.927  0.331
La  0.259  0.259  0.331
Nd  0.592  0.592  0.331
Nd  0.408  0.408  0.669
Sm  0.073  0.073  0.669
Sm  0.666  0.666  0.995

Output
Total moment: 0.0 μB/cell
Volume: 35.22 Å³ per atom

***

(b)
Entry from the Alexandria database: an optimized crystal structure of La2Nd3Sm4 (PBE).

a b c (Å): 3.668 3.668 27.405
angles (deg): 90.00 90.00 120.00
Positions (direct):
Sm  0.000  0.000  0.541
La  0.667  0.333  0.093
Nd  0.667  0.333  0.651
La  0.667  0.333  0.869
Sm  0.667  0.333  0.219
Nd  0.000  0.000  0.984
Nd  0.000  0.000  0.324
Sm  0.000  0.000  0.759
Sm  0.667  0.333  0.436

Output
Total moment: 0.0 μB/cell
Volume: 35.48 Å³ per atom

***

What should be chosen as the most stable of them? Choose (a).

***

(a)
Entry from the Alexandria database: an optimized crystal structure of La5NdSm8 (PBE).

a b c (Å): 3.609 17.229 9.123
angles (deg): 62.62 101.41 90.00
Positions (direct):
Sm  0.146  0.562  0.292
La  0.356  0.938  0.712
Sm  0.422  0.221  0.843
Sm  0.785  0.145  0.569
La  0.287  0.645  0.574
Sm  0.925  0.720  0.850
La  0.713  0.355  0.427
Sm  0.075  0.280  0.150
Sm  0.578  0.779  0.157
Nd  0.500  0.500  0.000
Sm  0.854  0.438  0.708
La  0.000  0.000  0.000
Sm  0.215  0.855  0.431
La  0.644  0.062  0.288

Output
Total moment: 0.0 μB/cell
Volume: 35.08 Å³ per atom

***

(b)
Entry from the Alexandria database: an optimized crystal structure of La5NdSm8 (PBE).

a b c (Å): 8.651 8.651 8.651
angles (deg): 111.35 105.78 111.35
Positions (direct):
La  0.290  0.108  0.967
Sm  0.720  0.251  0.321
Nd  0.250  0.500  0.750
La  0.818  0.677  0.710
Sm  0.563  0.898  0.820
Sm  0.531  0.602  0.280
Sm  0.679  0.398  0.929
La  0.033  0.323  0.141
Sm  0.071  0.749  0.469
La  0.859  0.892  0.182
La  0.500  0.000  0.500
Sm  0.922  0.102  0.665
Sm  0.180  0.742  0.078
Sm  0.335  0.258  0.437

Output
Total moment: 0.0 μB/cell
Volume: 35.49 Å³ per atom

***

What should be chosen as the most stable of them? Choose (a).

***

(a)
Entry from the Alexandria database: an optimized crystal structure of LaNd4Sm6 (PBE).

a b c (Å): 3.599 11.204 11.204
angles (deg): 120.00 90.00 90.00
Positions (direct):
Sm  0.000  0.498  0.502
Sm  0.500  0.169  0.831
Nd  0.500  0.803  0.197
Sm  0.000  0.004  0.502
Nd  0.500  0.394  0.197
Nd  0.000  0.333  0.667
La  0.000  0.000  0.000
Nd  0.500  0.803  0.606
Sm  0.500  0.662  0.831
Sm  0.000  0.498  0.996
Sm  0.500  0.169  0.338

Output
Total moment: 0.0 μB/cell
Volume: 35.57 Å³ per atom

***

(b)
Entry from the Alexandria database: an optimized crystal structure of LaNd4Sm6 (PBE).

a b c (Å): 9.891 9.891 9.891
angles (deg): 57.62 140.16 140.16
Positions (direct):
Nd  0.000  0.631  0.012
Sm  0.356  0.553  0.553
Sm  0.000  0.447  0.803
Sm  0.644  0.197  0.197
Nd  0.381  0.369  0.369
Nd  0.000  0.012  0.631
Sm  0.500  0.500  0.000
La  0.000  0.000  0.000
Nd  0.619  0.988  0.988
Sm  0.000  0.803  0.447
Sm  0.500  0.000  0.500

Output
Total moment: 0.0 μB/cell
Volume: 35.80 Å³ per atom

***

What should be chosen as the most stable of them? Choose (a).